# K2TlSnI6, optimized geometry, DFT PBE
data_K2TlSnI6
_chemical_formula_sum 'K6 Tl3 Sn3 I18'
_cell_length_a 8.6080
_cell_length_b 8.6080
_cell_length_c 22.2278
_cell_angle_alpha 90.00
_cell_angle_beta 90.00
_cell_angle_gamma 120.00
_symmetry_space_group_name_H-M 'R 3'
_symmetry_Int_Tables_number 146
_symmetry_space_group_name_Hall 'R 3'
loop_
_atom_site_label
_atom_site_fract_x
_atom_site_fract_y
_atom_site_fract_z
K1 0.0000 0.0000 0.0000
K2 0.0000 0.0000 0.4925
Tl1 0.0000 0.0000 0.2894
Sn1 0.0000 0.0000 0.7939
I1 0.0284 0.6224 0.5435
I2 0.0723 0.3490 0.3834
# Magnetization = 0.00 μB per formula unit
# Crystal system = trigonal
# Calculated volume = 475 Å³/f.u.
# Final energy = -26.4 eV per formula unit
# Formation energy from raw total energies = -82.5 kJ/mol of atoms



# KTl2SnI4, optimized geometry, DFT PBE
data_KTl2SnI4
_chemical_formula_sum 'K2 Tl4 Sn2 I8'
_cell_length_a 7.0455
_cell_length_b 7.0455
_cell_length_c 13.9067
_cell_angle_alpha 90.00
_cell_angle_beta 90.00
_cell_angle_gamma 90.00
_symmetry_space_group_name_H-M 'I -4 m 2'
_symmetry_Int_Tables_number 119
_symmetry_space_group_name_Hall 'I -4 -2'
loop_
_atom_site_label
_atom_site_fract_x
_atom_site_fract_y
_atom_site_fract_z
K1 0.0000 0.0000 0.0000
Tl1 0.0000 0.0000 0.5000
Tl2 0.0000 0.5000 0.2500
Sn1 0.0000 0.5000 0.7500
I1 0.0000 0.0000 0.2501
I2 0.0000 0.5000 0.5133
# Magnetization = 0.68 μB per formula unit
# Crystal system = tetragonal
# Calculated volume = 345 Å³/f.u.
# Final energy = -21.3 eV per formula unit
# Formation energy from raw total energies = -63.3 kJ/mol of atoms



# KTl2SnI6, optimized geometry, DFT PBE
data_KTl2SnI6
_chemical_formula_sum 'K2 Tl4 Sn2 I12'
_cell_length_a 8.1692
_cell_length_b 9.2854
_cell_length_c 13.8351
_cell_angle_alpha 90.00
_cell_angle_beta 120.89
_cell_angle_gamma 90.00
_symmetry_space_group_name_H-M 'P 1 21/c 1'
_symmetry_Int_Tables_number 14
loop_
_symmetry_equiv_pos_as_xyz
'x,y,z'
'-x,-y,-z'
'-x,y+1/2,-z+1/2'
'x,-y+1/2,z+1/2'
loop_
_atom_site_label
_atom_site_fract_x
_atom_site_fract_y
_atom_site_fract_z
K1 0.0000 0.0000 0.0000
Tl1 0.1907 0.0834 0.7278
Sn1 0.5000 0.0000 0.5000
I1 0.1480 0.1668 0.4594
I2 0.2568 0.7259 0.4082
I3 0.4148 0.0790 0.2651
# Magnetization = 0.00 μB per formula unit
# Crystal system = monoclinic
# Calculated volume = 450 Å³/f.u.
# Final energy = -25.9 eV per formula unit
# Formation energy from raw total energies = -65.5 kJ/mol of atoms



# KTl2SnI5, optimized geometry, DFT PBE
data_KTl2SnI5
_chemical_formula_sum 'K4 Tl8 Sn4 I20'
_cell_length_a 5.1402
_cell_length_b 20.3605
_cell_length_c 15.8610
_cell_angle_alpha 90.00
_cell_angle_beta 90.00
_cell_angle_gamma 90.00
_symmetry_space_group_name_H-M 'C m c 21'
_symmetry_Int_Tables_number 36
loop_
_symmetry_equiv_pos_as_xyz
'x,y,z'
'-x,-y,z+1/2'
'-x,y,z'
'x,-y,z+1/2'
'x+1/2,y+1/2,z'
'-x+1/2,-y+1/2,z+1/2'
'-x+1/2,y+1/2,z'
'x+1/2,-y+1/2,z+1/2'
loop_
_atom_site_label
_atom_site_fract_x
_atom_site_fract_y
_atom_site_fract_z
K1 0.0000 0.2292 0.0000
Tl1 0.0000 0.1023 0.7102
Tl2 0.0000 0.1608 0.2671
Sn1 0.0000 0.4704 0.4681
I1 0.0000 0.0650 0.0756
I2 0.0000 0.2656 0.6582
I3 0.0000 0.3270 0.3641
I4 0.0000 0.3949 0.0558
I5 0.0000 0.4657 0.7946
# Magnetization = 0.00 μB per formula unit
# Crystal system = orthorhombic
# Calculated volume = 415 Å³/f.u.
# Final energy = -24.3 eV per formula unit
# Formation energy from raw total energies = -72.4 kJ/mol of atoms



# KYSn2I8, optimized geometry, DFT PBE
data_KYSn2I8
_chemical_formula_sum 'K1 Y1 Sn2 I8'
_cell_length_a 7.3073
_cell_length_b 7.7779
_cell_length_c 9.5908
_cell_angle_alpha 89.98
_cell_angle_beta 89.94
_cell_angle_gamma 88.81
_symmetry_space_group_name_H-M 'P -1'
_symmetry_Int_Tables_number 2
loop_
_symmetry_equiv_pos_as_xyz
'x,y,z'
'-x,-y,-z'
loop_
_atom_site_label
_atom_site_fract_x
_atom_site_fract_y
_atom_site_fract_z
K1 0.0000 0.0000 0.0000
Y1 0.0000 0.0000 0.5000
Sn1 0.5000 0.5002 0.2499
I1 0.2363 0.3252 0.5002
I2 0.2487 0.8442 0.7227
I3 0.2493 0.8449 0.2770
I4 0.2705 0.3660 0.0003
# Magnetization = 0.00 μB per formula unit
# Crystal system = triclinic
# Calculated volume = 545 Å³/f.u.
# Final energy = -39.1 eV per formula unit
# Formation energy from raw total energies = -89.2 kJ/mol of atoms



# KYSnI6, optimized geometry, DFT PBE
data_KYSnI6
_chemical_formula_sum 'K2 Y2 Sn2 I12'
_cell_length_a 8.0646
_cell_length_b 8.0646
_cell_length_c 15.4531
_cell_angle_alpha 90.00
_cell_angle_beta 90.00
_cell_angle_gamma 120.00
_symmetry_space_group_name_H-M 'P -3 1 c'
_symmetry_Int_Tables_number 163
_symmetry_space_group_name_Hall '-P 3 2c'
loop_
_atom_site_label
_atom_site_fract_x
_atom_site_fract_y
_atom_site_fract_z
K1 0.0000 0.0000 0.0000
Y1 0.3333 0.6667 0.2500
Sn1 0.3333 0.6667 0.7500
I1 0.0144 0.3732 0.1348
# Magnetization = 0.00 μB per formula unit
# Crystal system = trigonal
# Calculated volume = 435 Å³/f.u.
# Final energy = -31.0 eV per formula unit
# Formation energy from raw total energies = -109.0 kJ/mol of atoms



# KZnSnI5, optimized geometry, DFT PBE
data_KZnSnI5
_chemical_formula_sum 'K4 Zn4 Sn4 I20'
_cell_length_a 10.4066
_cell_length_b 13.4678
_cell_length_c 11.4251
_cell_angle_alpha 90.00
_cell_angle_beta 114.78
_cell_angle_gamma 90.00
_symmetry_space_group_name_H-M 'C 1 2/c 1'
_symmetry_Int_Tables_number 15
loop_
_symmetry_equiv_pos_as_xyz
'x,y,z'
'-x,-y,-z'
'-x,y,-z+1/2'
'x,-y,z+1/2'
'x+1/2,y+1/2,z'
'-x+1/2,-y+1/2,-z'
'-x+1/2,y+1/2,-z+1/2'
'x+1/2,-y+1/2,z+1/2'
loop_
_atom_site_label
_atom_site_fract_x
_atom_site_fract_y
_atom_site_fract_z
K1 0.0000 0.1482 0.2500
Zn1 0.0000 0.1826 0.7500
Sn1 0.0000 0.5000 0.0000
I1 0.0000 0.4075 0.2500
I2 0.1260 0.2878 0.6322
I3 0.1767 0.0661 0.9370
# Magnetization = 0.00 μB per formula unit
# Crystal system = monoclinic
# Calculated volume = 363 Å³/f.u.
# Final energy = -20.2 eV per formula unit
# Formation energy from raw total energies = -73.6 kJ/mol of atoms



# K2SrI, optimized geometry, DFT PBE
data_K2SrI
_chemical_formula_sum 'K2 Sr1 I1'
_cell_length_a 4.2866
_cell_length_b 4.2866
_cell_length_c 11.5397
_cell_angle_alpha 90.00
_cell_angle_beta 90.00
_cell_angle_gamma 90.00
_symmetry_space_group_name_H-M 'P 4/m m m'
_symmetry_Int_Tables_number 123
_symmetry_space_group_name_Hall '-P 4 2'
loop_
_atom_site_label
_atom_site_fract_x
_atom_site_fract_y
_atom_site_fract_z
K1 0.0000 0.0000 0.1840
Sr1 0.5000 0.5000 0.5000
I1 0.5000 0.5000 0.0000
# Magnetization = 0.25 μB per formula unit
# Crystal system = tetragonal
# Calculated volume = 212 Å³/f.u.
# Energy relative to the lowest polymorph listed for this composition = 0.0 kJ per mole of atoms
# Final energy = -7.8 eV per formula unit
# Formation energy from raw total energies = -57.6 kJ/mol of atoms



# K2SrI, optimized geometry, DFT PBE
data_K2SrI
_chemical_formula_sum 'K8 Sr4 I4'
_cell_length_a 9.7116
_cell_length_b 9.7116
_cell_length_c 9.7116
_cell_angle_alpha 90.00
_cell_angle_beta 90.00
_cell_angle_gamma 90.00
_symmetry_space_group_name_H-M 'F m -3 m'
_symmetry_Int_Tables_number 225
_symmetry_space_group_name_Hall '-F 4 2 3'
loop_
_atom_site_label
_atom_site_fract_x
_atom_site_fract_y
_atom_site_fract_z
K1 0.2500 0.2500 0.2500
Sr1 0.0000 0.0000 0.0000
I1 0.0000 0.0000 0.5000
# Magnetization = 0.00 μB per formula unit
# Crystal system = cubic
# Calculated volume = 229 Å³/f.u.
# Energy relative to the lowest polymorph listed for this composition = 32.8 kJ per mole of atoms
# Final energy = -6.5 eV per formula unit
# Formation energy from raw total energies = -24.8 kJ/mol of atoms



# K6SrI8, optimized geometry, DFT PBE
data_K6SrI8
_chemical_formula_sum 'K24 Sr4 I32'
_cell_length_a 14.3030
_cell_length_b 14.3030
_cell_length_c 14.3030
_cell_angle_alpha 90.00
_cell_angle_beta 90.00
_cell_angle_gamma 90.00
_symmetry_space_group_name_H-M 'F m -3 m'
_symmetry_Int_Tables_number 225
_symmetry_space_group_name_Hall '-F 4 2 3'
loop_
_atom_site_label
_atom_site_fract_x
_atom_site_fract_y
_atom_site_fract_z
K1 0.0000 0.2500 0.2500
Sr1 0.0000 0.0000 0.0000
I1 0.0000 0.0000 0.2319
I2 0.2500 0.2500 0.2500
# Magnetization = 0.00 μB per formula unit
# Crystal system = cubic
# Calculated volume = 732 Å³/f.u.
# Final energy = -43.7 eV per formula unit
# Formation energy from raw total energies = -148.1 kJ/mol of atoms